This record from Alexandria describes a relaxed structure of DyMg3Pa3N8. The functional is PBE.

Lattice parameters (Å, degrees): 6.9878 6.9896 6.5289 122.34 90.00 119.99
Last column: nearest neighbours and their distance in Å.
Fractional positions:
Dy (0.0000, 0.0000, 0.5000)  6 N 2.33-2.34
Mg (0.0000, 0.0000, 0.0000)  6 N 2.39-2.50
N (0.2417, 0.4835, 0.7163)  2 Pa 2.29, 1 Dy 2.34, 2 Mg 2.50
Pa (0.0000, 0.5000, 0.5000)  6 N 2.29-2.40
N (0.7584, 0.0259, 0.2839)  2 Pa 2.29, 1 Dy 2.33, 2 Mg 2.50-2.51
N (0.7583, 0.5165, 0.2837)  2 Pa 2.29, 1 Dy 2.34, 2 Mg 2.50
N (0.2492, 0.4984, 0.2474)  3 Mg 2.38-2.39, 3 Pa 2.40
N (0.7325, 0.9741, 0.7161)  2 Pa 2.29, 1 Dy 2.33, 2 Mg 2.50-2.51
N (0.2416, 0.9741, 0.7161)  2 Pa 2.29, 1 Dy 2.33, 2 Mg 2.50-2.51
N (0.7508, 0.5016, 0.7526)  3 Mg 2.38-2.39, 3 Pa 2.40
Pa (0.5000, 0.0000, 0.5000)  6 N 2.29-2.40
Mg (0.0000, 0.5000, 0.0000)  6 N 2.38-2.51
Mg (0.5000, 0.5000, 0.0000)  6 N 2.38-2.51
Pa (0.5000, 0.5000, 0.5000)  6 N 2.29-2.40
N (0.2675, 0.0259, 0.2839)  2 Pa 2.29, 1 Dy 2.33, 2 Mg 2.50-2.51

* raw total energy: -0.300 hartree per atom
* space group: R-3m
* ΔE_f (raw): -1.19 eV/atom